(1)
A geometry-optimized Sr2MgAg structure, computed with PBE.

## Properties
Crystal system: tetragonal
ρ (g cm⁻³): 3.79
Symmetry: P4mm
Uncorrected energy (eV per atom): -2.075
Calculated formation energy (eV/atom): -0.12

The structure in extended XYZ format:
```
4
Lattice="-3.115 1.373 -1.779 -2.133 -0.851 3.079 1.681 8.290 3.456" Properties=species:S:1:pos:R:3 pbc="T T T"
Sr 1.588 7.834 3.265
Sr -2.093 2.883 1.743
Mg -1.473 5.941 3.018
Ag 0.931 4.590 1.913
```

***

(2)
A geometry-optimized RbAsIBr2 structure, computed with PBE.

## Properties
Crystal system: tetragonal
ρ (g cm⁻³): 2.41
Formation energy from raw total energies (eV per formula unit): 1.8
Symmetry: P4/mmm
Uncorrected energy (eV per atom): -1.743

The structure in extended XYZ format:
```
5
Lattice="-5.465 1.581 -2.779 -0.321 -5.747 -2.639 -3.867 -2.597 6.125" Properties=species:S:1:pos:R:3 pbc="T T T"
I -4.826 -3.381 0.353
As -1.933 -1.299 3.063
Br -2.733 0.791 -1.390
Br -0.160 -2.873 -1.320
Rb 0.000 0.000 0.000
```

***

(3)
A geometry-optimized Cr2SbPb structure, computed with PBE.

## Properties
Crystal system: monoclinic
ρ (g cm⁻³): 8.74
Formation energy from raw total energies (eV per formula unit): 1.6
Symmetry: Pm
Uncorrected energy (eV per atom): -6.373

The structure in extended XYZ format:
```
4
Lattice="-1.780 -2.790 2.273 -0.057 -2.470 -3.077 4.627 -3.077 -0.154" Properties=species:S:1:pos:R:3 pbc="T T T"
Cr 0.256 -2.316 0.903
Cr 4.535 -3.508 -0.755
Pb 1.945 -2.482 -1.524
Sb 2.966 -5.883 -1.353
```

***

(4)
A geometry-optimized AlReSb2 structure, computed with PBE.

## Properties
Crystal system: monoclinic
ρ (g cm⁻³): 9.50
Formation energy from raw total energies (eV per formula unit): 2.0
Symmetry: C2/m
Uncorrected energy (eV per atom): -5.617

The structure in extended XYZ format:
```
4
Lattice="4.862 0.006 -0.004 3.670 3.189 -0.004 0.658 0.246 5.154" Properties=species:S:1:pos:R:3 pbc="T T T"
Sb 4.414 1.653 2.655
Sb 0.838 0.314 5.072
Re 6.892 2.581 3.860
Al 2.297 0.860 1.287
```

***

(5)
A geometry-optimized Ca2DyCd5 structure, computed with PBE.

## Properties
Crystal system: tetragonal
ρ (g cm⁻³): 6.49
Symmetry: I4/mmm
Uncorrected energy (eV per atom): -1.946
Calculated formation energy (eV/atom): -0.30

The structure in extended XYZ format:
```
8
Lattice="-1.859 4.923 0.017 -2.427 -0.901 -4.582 -3.906 -4.308 5.938" Properties=species:S:1:pos:R:3 pbc="T T T"
Dy 0.000 0.000 0.000
Ca -5.079 0.897 -0.508
Ca -3.113 -1.182 1.881
Cd -5.559 0.704 2.806
Cd -2.350 1.922 0.867
Cd -5.843 -2.208 0.506
Cd -2.143 2.011 -2.283
Cd -2.633 -0.990 -1.433
```

***

(6)
A geometry-optimized Ba3Li4Tl4 structure, computed with PBE.

## Properties
Crystal system: orthorhombic
ρ (g cm⁻³): 5.97
Symmetry: Immm
Uncorrected energy (eV per atom): -2.318
Calculated formation energy (eV/atom): -0.24

The structure in extended XYZ format:
```
11
Lattice="-2.634 -3.845 2.385 6.956 -2.476 3.688 -3.710 8.083 3.189" Properties=species:S:1:pos:R:3 pbc="T T T"
Li -2.278 3.673 3.406
Li 0.362 -1.011 4.516
Li 2.891 -1.911 5.857
Li 0.250 2.773 4.746
Tl -2.188 0.848 4.696
Tl -0.025 -2.383 1.878
Tl 2.801 0.914 4.566
Tl 4.348 -3.939 4.196
Ba 1.024 0.454 7.609
Ba 3.478 -1.238 1.844
Ba -0.411 1.308 1.654
```

***

(7)
A geometry-optimized LuSnHgRh structure, computed with PBE.

## Properties
Crystal system: cubic
ρ (g cm⁻³): 12.00
Symmetry: F-43m
Uncorrected energy (eV per atom): -4.451
Calculated formation energy (eV/atom): -0.41

The structure in extended XYZ format:
```
4
Lattice="4.890 0.000 0.000 2.445 4.235 0.000 2.445 1.412 3.992" Properties=species:S:1:pos:R:3 pbc="T T T"
Lu 7.334 4.235 2.994
Sn 2.445 1.412 0.998
Hg 0.000 0.000 0.000
Rh 4.890 2.823 1.996
```

***

(8)
A geometry-optimized BaCoPb2 structure, computed with PBE.

## Properties
Crystal system: monoclinic
ρ (g cm⁻³): 8.52
Symmetry: C2/m
Uncorrected energy (eV per atom): -3.662
Calculated formation energy (eV/atom): 0.45

The structure in extended XYZ format:
```
4
Lattice="-0.256 7.093 -2.472 -3.893 -4.096 -2.274 -2.706 1.913 1.072" Properties=species:S:1:pos:R:3 pbc="T T T"
Co -2.074 1.498 -2.373
Pb 0.000 0.000 0.000
Pb -1.481 4.503 -0.700
Ba -3.299 -1.091 -0.601
```